[1]
DFT (GGA-PBE) results for a relaxed structure of TmMnAl4.

a b c (Å): 4.809 6.372 14.229
angles (deg): 90.00 90.00 90.00
Space group Immm (No. 71)
Symmetry-distinct sites (fractional):
Tm: 0.000 0.000 0.211
Mn: 0.225 0.000 0.500
Al: 0.000 0.189 0.000
Al: 0.000 0.271 0.393
Al: 0.000 0.500 0.151

---

[2]
DFT (GGA-PBE) results for a relaxed structure of YTmMnAl.

a b c (Å): 7.146 7.146 7.146
angles (deg): 90.00 90.00 90.00
Space group F-43m (No. 216)
Symmetry-distinct sites (fractional):
Y: 0.000 0.000 0.000
Tm: 0.000 0.000 0.500
Mn: 0.250 0.250 0.250
Al: 0.250 0.250 0.750

---

[3]
DFT (GGA-PBE) results for a relaxed structure of TmZrMnAl.

a b c (Å): 6.719 6.719 6.719
angles (deg): 90.00 90.00 90.00
Space group F-43m (No. 216)
Symmetry-distinct sites (fractional):
Tm: 0.000 0.000 0.000
Zr: 0.000 0.000 0.500
Mn: 0.250 0.250 0.250
Al: 0.250 0.250 0.750

---

Result set for E: -4.963; -6.049; -6.548 eV/atom, one per record in the order listed.
Result set for size of the total moment: 0.0; 13.5; 0.0 μB per cell, one per record in the order listed.
Result set for E_form: -0.194; -0.087; -0.066 eV/atom, one per record in the order listed.